(1)
Compound: La8CeSm6
Source: Alexandria
Functional: PBE-GGA
Structure: optimized geometry

Lattice parameters (Å, degrees): 8.401 8.401 8.401 73.30 73.30 73.30
Fractional positions:
Ce1 0.000 0.000 0.000
Sm1 0.719 0.388 0.919
Sm2 0.281 0.612 0.081
Sm3 0.919 0.719 0.388
Sm4 0.081 0.281 0.612
Sm5 0.388 0.919 0.719
Sm6 0.612 0.081 0.281
La1 0.932 0.349 0.225
La2 0.586 0.586 0.586
La3 0.225 0.932 0.349
La4 0.414 0.414 0.414
La5 0.775 0.068 0.651
La6 0.068 0.651 0.775
La7 0.651 0.775 0.068
La8 0.349 0.225 0.932

Results
**Space-group type**: R-3, No. 148
**N(E_F)**: 26.46 states/eV/f.u.
**E_form**: 0.138 eV/atom
**DFT total energy**: -71.6 eV per cell
**M_tot**: 0.39 μB/f.u.


(2)
Compound: La8CeSm3
Source: Alexandria
Functional: PBE-GGA
Structure: optimized geometry

Lattice parameters (Å, degrees): 8.565 8.565 8.565 93.94 117.75 117.75
Fractional positions:
Sm1 0.500 0.250 0.750
Sm2 0.000 0.500 0.500
Sm3 0.500 0.750 0.250
La1 0.000 0.786 0.254
La2 0.468 0.214 0.214
La3 0.000 0.639 0.877
La4 0.000 0.877 0.639
La5 0.000 0.254 0.786
La6 0.762 0.123 0.123
La7 0.532 0.746 0.746
La8 0.238 0.361 0.361
Ce1 0.000 0.000 0.000

Results
**Space-group type**: I-42m, No. 121
**N(E_F)**: 21.35 states/eV/f.u.
**E_form**: 0.448 eV/atom
**DFT total energy**: -54.1 eV per cell
**M_tot**: 0.00 μB/f.u.


(3)
Compound: LaCeSm
Source: Alexandria
Functional: PBE-GGA
Structure: optimized geometry

Lattice parameters (Å, degrees): 3.430 8.600 6.605 90.00 90.00 90.00
Fractional positions:
Ce1 0.000 0.845 0.250
Ce2 0.000 0.155 0.750
La1 0.500 0.844 0.750
La2 0.500 0.156 0.250
Sm1 0.000 0.500 0.000
Sm2 0.000 0.500 0.500

Results
**Space-group type**: Pmma, No. 51
**N(E_F)**: 7.80 states/eV/f.u.
**E_form**: 0.220 eV/atom
**Relative energy among the computed polymorphs**: 158 meV/atom
**DFT total energy**: -29.8 eV per cell
**M_tot**: 0.81 μB/f.u.


(4)
Compound: La5CeSm4
Source: Alexandria
Functional: PBE-GGA
Structure: optimized geometry

Lattice parameters (Å, degrees): 3.620 11.668 12.195 135.77 98.54 90.00
Fractional positions:
Sm1 0.396 0.087 0.791
Sm2 0.917 0.630 0.833
Sm3 0.604 0.913 0.209
Sm4 0.083 0.370 0.167
La1 0.796 0.699 0.592
La2 0.204 0.301 0.408
La3 0.191 0.797 0.382
La4 0.500 0.500 0.000
La5 0.809 0.203 0.618
Ce1 0.500 0.000 0.000

Results
**Space-group type**: C2/m, No. 12
**N(E_F)**: 16.12 states/eV/f.u.
**E_form**: 0.047 eV/atom
**DFT total energy**: -49.0 eV per cell
**M_tot**: 1.02 μB/f.u.


(5)
Compound: LaCeSm
Source: Alexandria
Functional: PBE-GGA
Structure: optimized geometry

Lattice parameters (Å, degrees): 3.570 3.570 8.031 102.84 102.84 90.00
Fractional positions:
Sm1 0.010 0.010 0.021
Ce1 0.667 0.667 0.334
La1 0.323 0.323 0.645

Results
**Space-group type**: I4mm, No. 107
**N(E_F)**: 5.11 states/eV/f.u.
**E_form**: 0.062 eV/atom
**Relative energy among the computed polymorphs**: 0 meV/atom
**DFT total energy**: -15.4 eV per cell
**M_tot**: 0.00 μB/f.u.


(6)
Compound: LaCe2Sm
Source: Alexandria
Functional: PBE-GGA
Structure: optimized geometry

Lattice parameters (Å, degrees): 5.117 4.967 4.967 90.00 90.00 90.00
Fractional positions:
La1 0.500 0.000 0.000
Ce1 0.000 0.000 0.500
Ce2 0.000 0.500 0.000
Sm1 0.500 0.500 0.500

Results
**Space-group type**: P4/mmm, No. 123
**N(E_F)**: 10.59 states/eV/f.u.
**E_form**: 0.113 eV/atom
**Relative energy among the computed polymorphs**: 0 meV/atom
**DFT total energy**: -21.1 eV per cell
**M_tot**: 1.62 μB/f.u.


(7)
Compound: La2CeSm3
Source: Alexandria
Functional: PBE-GGA
Structure: optimized geometry

Lattice parameters (Å, degrees): 7.025 9.207 7.075 101.08 90.00 112.43
Fractional positions:
Sm1 0.131 0.271 0.068
Sm2 0.717 0.000 0.750
Sm3 0.860 0.729 0.432
Sm4 0.869 0.729 0.932
Sm5 0.140 0.271 0.568
Sm6 0.283 0.000 0.250
La1 0.321 0.654 0.414
La2 0.666 0.346 0.086
La3 0.334 0.654 0.914
La4 0.679 0.346 0.586
Ce1 0.739 0.000 0.250
Ce2 0.261 0.000 0.750

Results
**Space-group type**: C2/c, No. 15
**N(E_F)**: 10.89 states/eV/f.u.
**E_form**: 0.153 eV/atom
**DFT total energy**: -58.1 eV per cell
**M_tot**: 0.82 μB/f.u.


(8)
Compound: La4CeSm10
Source: Alexandria
Functional: PBE-GGA
Structure: optimized geometry

Lattice parameters (Å, degrees): 10.744 8.806 8.806 68.15 52.41 52.41
Fractional positions:
Sm1 0.750 0.500 0.500
Sm2 0.778 0.677 0.085
Sm3 0.455 0.085 0.323
Sm4 0.545 0.915 0.677
Sm5 0.137 0.085 0.323
Sm6 0.222 0.323 0.915
Sm7 0.250 0.500 0.500
Sm8 0.539 0.323 0.915
Sm9 0.863 0.915 0.677
Sm10 0.461 0.677 0.085
La1 0.320 0.733 0.627
La2 0.947 0.373 0.733
La3 0.053 0.627 0.267
La4 0.680 0.267 0.373
Ce1 0.000 0.000 0.000

Results
**Space-group type**: I4/m, No. 87
**N(E_F)**: 26.25 states/eV/f.u.
**E_form**: 0.315 eV/atom
**DFT total energy**: -68.1 eV per cell
**M_tot**: 1.09 μB/f.u.


(9)
Compound: La7CeSm12
Source: Alexandria
Functional: PBE-GGA
Structure: optimized geometry

Lattice parameters (Å, degrees): 8.865 8.865 8.865 90.73 90.73 90.73
Fractional positions:
La1 0.329 0.944 0.046
La2 0.500 0.500 0.500
La3 0.056 0.954 0.671
La4 0.944 0.046 0.329
La5 0.046 0.329 0.944
La6 0.954 0.671 0.056
La7 0.671 0.056 0.954
Sm1 0.218 0.756 0.363
Sm2 0.756 0.363 0.218
Sm3 0.627 0.555 0.875
Sm4 0.782 0.244 0.637
Sm5 0.373 0.445 0.125
Sm6 0.244 0.637 0.782
Sm7 0.555 0.875 0.627
Sm8 0.125 0.373 0.445
Sm9 0.445 0.125 0.373
Sm10 0.363 0.218 0.756
Sm11 0.637 0.782 0.244
Sm12 0.875 0.627 0.555
Ce1 0.000 0.000 0.000

Results
**Space-group type**: R-3, No. 148
**N(E_F)**: 37.57 states/eV/f.u.
**E_form**: 0.199 eV/atom
**Relative energy among the computed polymorphs**: 0 meV/atom
**DFT total energy**: -93.1 eV per cell
**M_tot**: 0.00 μB/f.u.


(10)
Compound: La4CeSm15
Source: Alexandria
Functional: PBE-GGA
Structure: optimized geometry

Lattice parameters (Å, degrees): 5.171 5.171 25.754 90.00 90.00 90.00
Fractional positions:
Sm1 0.500 0.500 0.198
Sm2 0.500 0.000 0.500
Sm3 0.000 0.500 0.097
Sm4 0.500 0.500 0.000
Sm5 0.500 0.500 0.601
Sm6 0.000 0.500 0.299
Sm7 0.500 0.000 0.701
Sm8 0.500 0.500 0.802
Sm9 0.500 0.000 0.903
Sm10 0.500 0.000 0.299
Sm11 0.500 0.000 0.097
Sm12 0.500 0.500 0.399
Sm13 0.000 0.500 0.701
Sm14 0.000 0.500 0.500
Sm15 0.000 0.500 0.903
La1 0.000 0.000 0.600
La2 0.000 0.000 0.198
La3 0.000 0.000 0.802
La4 0.000 0.000 0.400
Ce1 0.000 0.000 0.000

Results
**Space-group type**: P4/mmm, No. 123
**N(E_F)**: 34.83 states/eV/f.u.
**E_form**: 0.031 eV/atom
**DFT total energy**: -95.8 eV per cell
**M_tot**: 1.02 μB/f.u.


(11)
Compound: LaCe2Sm
Source: Alexandria
Functional: PBE-GGA
Structure: optimized geometry

Lattice parameters (Å, degrees): 3.432 3.432 12.446 82.08 82.08 60.00
Fractional positions:
La1 0.500 0.500 0.500
Ce1 0.087 0.087 0.740
Ce2 0.913 0.913 0.260
Sm1 0.000 0.000 0.000

Results
**Space-group type**: R-3m, No. 166
**N(E_F)**: 10.68 states/eV/f.u.
**E_form**: 0.240 eV/atom
**Relative energy among the computed polymorphs**: 127 meV/atom
**DFT total energy**: -20.6 eV per cell
**M_tot**: 1.58 μB/f.u.


(12)
Compound: LaCe2Sm
Source: Alexandria
Functional: PBE-GGA
Structure: optimized geometry

Lattice parameters (Å, degrees): 5.741 5.741 5.741 60.00 60.00 60.00
Fractional positions:
Sm1 0.000 0.000 0.000
La1 0.500 0.500 0.500
Ce1 0.250 0.250 0.250
Ce2 0.750 0.750 0.750

Results
**Space-group type**: Fm-3m, No. 225
**N(E_F)**: 14.60 states/eV/f.u.
**E_form**: 0.271 eV/atom
**Relative energy among the computed polymorphs**: 158 meV/atom
**DFT total energy**: -20.4 eV per cell
**M_tot**: 4.25 μB/f.u.


Q: Among the records above, which one has the highest DFT total energy?
A: number 5


Q: Among the records above, which one has the lowest N(E_F)?
A: number 5


Q: The highest M_tot belongs to which entry?
A: number 12


Q: What is the formula in the eleventh record?
A: LaCe2Sm